# 1
A relaxed structure of LaDy2Y2Tm2. Source: the Alexandria database, functional PBE-GGA.

Unit cell a=11.6548 b=3.5105 c=11.7909 alpha=90.00 beta=108.66 gamma=90.00
With the nearest neighbours (Å) after each atom.
Space group C2/m (No. 12)
Unique sites:
La  0.0000  0.0000  0.0000  2 La 3.51, 6 Tm 3.52-3.58, 4 Y 3.57
Dy  0.1711  0.5000  0.5825  4 Y 3.44-3.59, 5 Dy 3.51-3.84, 2 Tm 3.57
Y  0.0518  0.5000  0.2751  4 Dy 3.44-3.59, 3 Tm 3.46-3.55, 2 Y 3.51, 2 La 3.57
Tm  0.2236  0.0000  0.8580  3 Y 3.46-3.55, 4 Tm 3.51-3.65, 3 La 3.52-3.58, 2 Dy 3.57

# 2
A relaxed structure of KCa2Mn. Source: the Alexandria database, functional PBE-GGA.

Unit cell a=7.7938 b=7.7938 c=11.0534 alpha=90.00 beta=90.00 gamma=90.00
With the nearest neighbours (Å) after each atom.
Space group I4_1/amd (No. 141, origin choice 2)
Unique sites:
K  0.0000  0.2500  0.3750  12 Ca 4.57-4.58, 4 K 4.78, 4 Mn 4.78
Ca  0.0000  0.0000  0.0000  2 Mn 2.39
Mn  0.0000  0.2500  0.8750  4 Ca 2.39

- energy above the most stable polymorph in this dataset (meV/atom) = 843.1

We obtain raw total energy values of -5.043 -2.390 eV per atom for the records listed above, in that order.
We obtain formation energy from the elements values of 67.5 454.6 kJ/mol of formula units for the records listed above, in that order.